Record 1
Cs2CaZnF6 | GGA-PBE | relaxed

a = 5.830 Å, b = 6.496 Å, c = 6.496 Å
α = 120.00°, β = 90.00°, γ = 90.00°
Fractional positions:
1 Cs 0.169 0.333 0.667
2 Cs 0.831 0.667 0.333
3 Ca 0.500 0.000 0.000
4 Zn 0.000 0.000 0.000
5 F 0.775 0.144 0.288
6 F 0.775 0.144 0.856
7 F 0.775 0.712 0.856
8 F 0.225 0.856 0.144
9 F 0.225 0.288 0.144
10 F 0.225 0.856 0.712

Output
Uncorrected formation energy in eV/atom: -2.9488
Symmetry: P-3m1, No. 164
N(E_F) in states/eV/atom: 0.000
Total magnetization in Bohr magnetons per cell: 0.0


Record 2
ZnCoN2 | GGA-PBE | relaxed

a = 6.012 Å, b = 6.012 Å, c = 6.012 Å
α = 27.63°, β = 27.63°, γ = 27.63°
Fractional positions:
1 Zn 0.000 0.000 0.000
2 Co 0.500 0.500 0.500
3 N 0.891 0.891 0.891
4 N 0.109 0.109 0.109

Output
Uncorrected formation energy in eV/atom: 0.4550
Symmetry: R-3m, No. 166
N(E_F) in states/eV/atom: 0.735
Total magnetization in Bohr magnetons per cell: 0.0


Record 3
Ta2P | GGA-PBE | relaxed

a = 11.274 Å, b = 11.274 Å, c = 11.274 Å
α = 164.52°, β = 164.52°, γ = 21.97°
Fractional positions:
1 Ta 0.819 0.319 0.500
2 Ta 0.931 0.931 0.000
3 Ta 0.681 0.181 0.500
4 Ta 0.069 0.069 0.000
5 P 0.250 0.750 0.500
6 P 0.500 0.500 0.000

Output
Symmetry: I4_1/amd, No. 141
N(E_F) in states/eV/atom: 0.467
Total magnetization in Bohr magnetons per cell: 0.0
Energy in eV/atom: -9.788


Record 4
AcPm3SmTm | GGA-PBE | relaxed

a = 5.209 Å, b = 8.227 Å, c = 10.999 Å
α = 116.41°, β = 90.00°, γ = 90.00°
Fractional positions:
1 Ac 0.250 0.123 0.294
2 Ac 0.750 0.877 0.706
3 Pm 0.750 0.868 0.040
4 Pm 0.250 0.132 0.960
5 Pm 0.250 0.626 0.453
6 Pm 0.750 0.374 0.547
7 Pm 0.750 0.380 0.208
8 Pm 0.250 0.620 0.792
9 Sm 0.250 0.621 0.125
10 Sm 0.750 0.379 0.875
11 Tm 0.250 0.129 0.627
12 Tm 0.750 0.871 0.373

Output
Symmetry: P2_1/m, No. 11
N(E_F) in states/eV/atom: 1.655
Total magnetization in Bohr magnetons per cell: 0.0
Energy in eV/atom: -4.552


Record 5
CuRe2Pb | GGA-PBE | relaxed

a = 3.905 Å, b = 3.905 Å, c = 10.079 Å
α = 78.83°, β = 78.83°, γ = 90.00°
Fractional positions:
1 Pb 0.000 0.000 0.000
2 Pb 0.750 0.250 0.500
3 Re 0.559 0.125 0.250
4 Re 0.191 0.625 0.250
5 Re 0.375 0.441 0.750
6 Re 0.875 0.809 0.750
7 Cu 0.500 0.500 0.000
8 Cu 0.250 0.750 0.500

Output
Symmetry: I-42d, No. 122
N(E_F) in states/eV/atom: 1.504
Total magnetization in Bohr magnetons per cell: 0.0
Offset from the most stable computed form in meV per atom: 391


Record 6
SmGa2Pd2 | GGA-PBE | relaxed

a = 6.022 Å, b = 6.022 Å, c = 6.022 Å
α = 138.32°, β = 138.32°, γ = 60.41°
Fractional positions:
1 Sm 0.000 0.000 0.000
2 Ga 0.622 0.622 0.000
3 Ga 0.378 0.378 0.000
4 Pd 0.750 0.250 0.500
5 Pd 0.250 0.750 0.500

Output
Symmetry: I4/mmm, No. 139
N(E_F) in states/eV/atom: 0.696
Total magnetization in Bohr magnetons per cell: 0.0
Energy in eV/atom: -5.007


Record 7
Li3IrF | GGA-PBE | relaxed

a = 3.892 Å, b = 3.892 Å, c = 3.892 Å
α = 90.00°, β = 90.00°, γ = 90.00°
Fractional positions:
1 Ir 0.500 0.500 0.500
2 Li 0.000 0.500 0.000
3 Li 0.000 0.000 0.500
4 Li 0.500 0.000 0.000
5 F 0.000 0.000 0.000

Output
Uncorrected formation energy in eV/atom: -0.8376
Symmetry: Pm-3m, No. 221
N(E_F) in states/eV/atom: 0.442
Total magnetization in Bohr magnetons per cell: 0.0
Offset from the most stable computed form in meV per atom: 0


Record 8
SrLi4 | GGA-PBE | relaxed

a = 5.986 Å, b = 5.986 Å, c = 5.986 Å
α = 90.00°, β = 90.00°, γ = 90.00°
Fractional positions:
1 Sr 0.500 0.500 0.500
2 Li 0.000 0.000 0.000
3 Li 0.500 0.000 0.500
4 Li 0.000 0.500 0.500
5 Li 0.500 0.500 0.000

Output
Symmetry: Pm-3m, No. 221
N(E_F) in states/eV/atom: 0.710
Total magnetization in Bohr magnetons per cell: 0.0
Offset from the most stable computed form in meV per atom: 705